Entry 1:
Rb2TlCl2 PBE relaxed; formation energy from raw total energies = -5.60 eV per formula unit; space group = I4/mmm; N(E_F) = 2.1 states/eV/f.u.; final energy = -2.719 eV per atom; polymorph energy (0 for the lowest one) = 181 meV per atom
1.0
-0.3146 2.3565 -5.3875
4.3618 -3.5249 -1.7965
-2.6529 -5.4300 -5.4385
Tl Rb Cl
1 2 2
direct
0.0000 0.0000 0.0000
0.3347 0.3347 0.3306
0.6653 0.6653 0.6694
0.7500 0.2500 0.5000
0.2500 0.7500 0.5000

=====

Entry 2:
RbTl3Cl6 PBE relaxed; formation energy from raw total energies = -10.95 eV per formula unit; space group = P2_1/c; N(E_F) = 0.0 states/eV/f.u.; final energy = -3.010 eV per atom
1.0
-3.3431 6.6249 0.5980
-2.7600 -0.6779 -7.9203
-8.8760 -5.3563 3.5515
Rb Tl Cl
2 6 12
direct
0.5000 0.5000 0.5000
0.0000 0.0000 0.0000
0.5198 0.9424 0.7265
0.5000 0.5000 0.0000
0.4802 0.0576 0.2735
0.0198 0.5576 0.2265
0.0000 0.0000 0.5000
0.9802 0.4424 0.7735
0.6560 0.2463 0.9094
0.6983 0.1606 0.5283
0.6226 0.4165 0.2206
0.3774 0.5835 0.7794
0.3017 0.8394 0.4717
0.3440 0.7537 0.0906
0.1560 0.2537 0.4094
0.1983 0.3394 0.0283
0.1226 0.0835 0.7206
0.8774 0.9165 0.2794
0.8017 0.6606 0.9717
0.8440 0.7463 0.5906